Entry 1:
Pu2HfO7 | Alexandria via LeMat-Bulk | PBE | relaxed; spin magnetization = 6.000 Bohr magnetons per cell; symmetry = No. 166; formation energy without anion corrections = -2.885 eV per atom
1.0
1.8766 1.0834 10.1051
-1.8766 1.0834 10.1051
0.0000 -2.1669 10.1051
Pu Hf O
2 1 7
Direct
0.0682 0.0682 0.0682
0.9318 0.9318 0.9318
0.5000 0.5000 0.5000
0.0000 0.0000 0.0000
0.1452 0.1452 0.1452
0.2800 0.2800 0.2800
0.4298 0.4298 0.4298
0.5702 0.5702 0.5702
0.7200 0.7200 0.7200
0.8548 0.8548 0.8548


Entry 2:
YTlFe | Alexandria via LeMat-Bulk | PBE | relaxed; spin magnetization = 2.413 Bohr magnetons per cell; symmetry = No. 187; energy of formation = 0.10 eV per atom
1.0
4.6743 0.0000 0.0000
-2.3372 4.0481 0.0000
0.0000 0.0000 3.5645
Y Tl Fe
1 1 1
Direct
0.0000 0.0000 0.0000
0.6667 0.3333 0.5000
0.3333 0.6667 0.5000


Entry 3:
Er3Zr | Alexandria via LeMat-Bulk | PBE | relaxed; spin magnetization = 0.002 Bohr magnetons per cell; symmetry = No. 25; energy of formation = 0.06 eV per atom
1.0
3.4696 0.0000 0.0000
0.0000 5.4230 0.0000
0.0000 0.0000 6.0702
Er Zr
3 1
Direct
0.0000 0.0000 0.0000
0.0000 0.5000 0.3368
0.5000 0.5000 0.8173
0.5000 0.0000 0.4972


Entry 4:
LiLa2BiPt | Alexandria via LeMat-Bulk | PBE | relaxed; spin magnetization = 0.000 Bohr magnetons per cell; symmetry = No. 123; energy of formation = -0.74 eV per atom
1.0
5.6100 0.0000 0.0000
0.0000 5.6100 0.0000
0.0000 0.0000 4.8259
Li La Bi Pt
1 2 1 1
Direct
0.0000 0.0000 0.0000
0.0000 0.5000 0.5000
0.5000 0.0000 0.5000
0.5000 0.5000 0.0000
0.0000 0.0000 0.5000


Entry 5:
YNb3Ni | Alexandria via LeMat-Bulk | PBE | relaxed; spin magnetization = 0.000 Bohr magnetons per cell; symmetry = No. 221; energy of formation = 2.34 eV per atom
1.0
4.8858 0.0000 0.0000
0.0000 4.8858 0.0000
0.0000 0.0000 4.8858
Y Nb Ni
1 3 1
Direct
0.0000 0.0000 0.0000
0.0000 0.0000 0.5000
0.0000 0.5000 0.0000
0.5000 0.0000 0.0000
0.5000 0.5000 0.5000


Entry 6:
CaCrGeC2 | Alexandria via LeMat-Bulk | PBE | relaxed; spin magnetization = 0.137 Bohr magnetons per cell; symmetry = No. 123; energy of formation = 3.01 eV per atom
1.0
4.1653 0.0000 0.0000
0.0000 4.1653 0.0000
0.0000 0.0000 5.1814
Ca Cr Ge C
1 1 1 2
Direct
0.0000 0.0000 0.0000
0.5000 0.5000 0.5000
0.0000 0.0000 0.5000
0.0000 0.5000 0.0000
0.5000 0.0000 0.0000